Entry w
Sc2TcCl: relaxed, GGA-PBE.

The structure in POSCAR format:
```
Sc2TcCl
1.0
-1.638 2.914 4.097
1.638 -2.914 4.097
1.638 2.914 -4.097
Sc Tc Cl
2 1 1
direct
0.245 0.245 0.000
0.755 0.755 0.000
0.500 0.000 0.500
0.000 0.500 0.500
```

The symmetry is Immm (71). The calculation puts the total magnetic moment at 0.00 μB/f.u.

Entry x
Sc2TcCl: relaxed, GGA-PBE.

The structure in POSCAR format:
```
Sc2TcCl
1.0
1.701 0.982 8.659
-1.701 0.982 8.659
0.000 -1.964 8.659
Sc Tc Cl
2 1 1
direct
0.096 0.096 0.096
0.904 0.904 0.904
0.500 0.500 0.500
0.000 0.000 0.000
```

The symmetry is R-3m (166). The calculation puts the total magnetic moment at 0.00 μB/f.u.

entry x comes first in stability; the runner-up is 425 meV per atom higher.

Entry w
ScTcCl: relaxed, GGA-PBE.

The structure in POSCAR format:
```
ScTcCl
1.0
0.000 2.984 2.984
2.984 0.000 2.984
2.984 2.984 0.000
Sc Tc Cl
1 1 1
direct
0.000 0.000 0.000
0.500 0.500 0.500
0.250 0.250 0.250
```

The symmetry is F-43m (216). The calculation puts the total magnetic moment at 1.01 μB/f.u.

Entry x
ScTcCl: relaxed, GGA-PBE.

The structure in POSCAR format:
```
ScTcCl
1.0
0.000 3.034 3.034
3.034 0.000 3.034
3.034 3.034 0.000
Sc Tc Cl
1 1 1
direct
0.000 0.000 0.000
0.750 0.750 0.750
0.500 0.500 0.500
```

The symmetry is F-43m (216). The calculation puts the total magnetic moment at 0.68 μB/f.u.

Entry y
ScTcCl: relaxed, GGA-PBE.

The structure in POSCAR format:
```
ScTcCl
1.0
0.000 3.142 3.142
3.142 0.000 3.142
3.142 3.142 0.000
Sc Tc Cl
1 1 1
direct
0.000 0.000 0.000
0.750 0.750 0.750
0.250 0.250 0.250
```

The symmetry is F-43m (216). The calculation puts the total magnetic moment at 1.53 μB/f.u.

Entry z
ScTcCl: relaxed, GGA-PBE.

The structure in POSCAR format:
```
ScTcCl
1.0
0.000 2.463 7.250
1.700 0.000 7.250
1.700 2.463 0.000
Sc Tc Cl
1 1 1
direct
0.000 0.000 0.000
0.639 0.639 0.361
0.372 0.372 0.628
```

The symmetry is Fmm2 (42). The calculation puts the total magnetic moment at 0.49 μB/f.u.

entry z comes first in stability; the runner-up is 637 meV per atom higher.

Entry w
ScTcCl: relaxed, GGA-PBE.

The structure in POSCAR format:
```
ScTcCl
1.0
-1.499 1.499 6.790
1.499 -1.499 6.790
1.499 1.499 -6.790
Sc Tc Cl
1 1 1
direct
0.000 0.000 0.000
0.640 0.640 0.000
0.373 0.373 0.000
```

The symmetry is I4mm (107). The calculation puts the total magnetic moment at 1.46 μB/f.u.

Entry x
ScTcCl: relaxed, GGA-PBE.

The structure in POSCAR format:
```
ScTcCl
1.0
4.263 0.000 0.000
-2.131 3.692 0.000
0.000 0.000 3.161
Sc Tc Cl
1 1 1
direct
0.000 0.000 0.000
0.667 0.333 0.500
0.333 0.667 0.500
```

The symmetry is P-6m2 (187). The calculation puts the total magnetic moment at 0.00 μB/f.u.

entry w comes first in stability; the runner-up is 147 meV per atom higher.

Entry w
ScTc3Cl: relaxed, GGA-PBE.

The structure in POSCAR format:
```
ScTc3Cl
1.0
4.966 0.000 0.000
0.000 4.966 0.000
0.000 0.000 4.966
Sc Tc Cl
1 3 1
direct
0.000 0.000 0.000
0.000 0.000 0.500
0.000 0.500 0.000
0.500 0.000 0.000
0.500 0.500 0.500
```

The symmetry is Pm-3m (221). The calculation puts the total magnetic moment at 9.04 μB/f.u.

Entry x
ScTc3Cl: relaxed, GGA-PBE.

The structure in POSCAR format:
```
ScTc3Cl
1.0
4.382 0.000 0.000
0.000 4.382 0.000
0.000 0.000 4.382
Sc Tc Cl
1 3 1
direct
0.000 0.000 0.000
0.000 0.500 0.500
0.500 0.000 0.500
0.500 0.500 0.000
0.500 0.500 0.500
```

The symmetry is Pm-3m (221). The calculation puts the total magnetic moment at 0.00 μB/f.u.

entry x comes first in stability; the runner-up is 1469 meV per atom higher.

Entry w
ScTc2Cl: relaxed, GGA-PBE.

The structure in POSCAR format:
```
ScTc2Cl
1.0
2.576 -5.240 0.000
2.576 5.240 0.000
-1.880 0.000 2.501
Sc Tc Cl
1 2 1
direct
0.000 0.000 0.000
0.000 0.500 0.000
0.500 0.000 0.000
0.500 0.500 0.000
```

The symmetry is C2/m (12). The calculation puts the total magnetic moment at 0.00 μB/f.u.

Entry x
ScTc2Cl: relaxed, GGA-PBE.

The structure in POSCAR format:
```
ScTc2Cl
1.0
1.553 -2.453 0.000
1.553 2.453 0.000
0.000 0.000 8.689
Sc Tc Cl
1 2 1
direct
0.000 0.000 0.000
0.500 0.500 0.257
0.500 0.500 0.743
0.000 0.000 0.500
```

The symmetry is Cmmm (65). The calculation puts the total magnetic moment at 0.00 μB/f.u.

Entry y
ScTc2Cl: relaxed, GGA-PBE.

The structure in POSCAR format:
```
ScTc2Cl
1.0
1.485 0.857 8.651
-1.485 0.857 8.651
0.000 -1.714 8.651
Sc Tc Cl
1 2 1
direct
0.000 0.000 0.000
0.245 0.245 0.245
0.755 0.755 0.755
0.500 0.500 0.500
```

The symmetry is R-3m (166). The calculation puts the total magnetic moment at 0.70 μB/f.u.

Entry z
ScTc2Cl: relaxed, GGA-PBE.

The structure in POSCAR format:
```
ScTc2Cl
1.0
3.040 0.000 0.000
0.000 1.530 7.463
0.000 -1.530 7.463
Sc Tc Cl
1 2 1
direct
0.000 0.000 0.000
0.000 0.779 0.779
0.500 0.371 0.371
0.500 0.622 0.622
```

The symmetry is Amm2 (38). The calculation puts the total magnetic moment at 0.00 μB/f.u.

entry z comes first in stability; the runner-up is 482 meV per atom higher.

Entry w
ScTc2Cl: relaxed, GGA-PBE.

The structure in POSCAR format:
```
ScTc2Cl
1.0
4.462 0.000 0.000
0.000 4.462 0.000
0.000 0.000 3.158
Sc Tc Cl
1 2 1
direct
0.000 0.000 0.000
0.000 0.500 0.500
0.500 0.000 0.500
0.500 0.500 0.000
```

The symmetry is P4/mmm (123). The calculation puts the total magnetic moment at 0.00 μB/f.u.

Entry x
ScTc2Cl: relaxed, GGA-PBE.

The structure in POSCAR format:
```
ScTc2Cl
1.0
-3.717 3.717 2.465
3.717 -3.717 2.465
3.717 3.717 -2.465
Sc Tc Cl
2 4 2
direct
0.000 0.000 0.000
0.750 0.250 0.500
0.214 0.625 0.089
0.375 0.464 0.589
0.536 0.125 0.911
0.875 0.786 0.411
0.250 0.750 0.500
0.500 0.500 0.000
```

The symmetry is I-42d (122). The calculation puts the total magnetic moment at 0.00 μB/f.u.

entry x comes first in stability; the runner-up is 111 meV per atom higher.

Entry w
ScTc2Cl: relaxed, GGA-PBE.

The structure in POSCAR format:
```
ScTc2Cl
1.0
5.409 -1.552 0.000
5.409 1.552 0.000
-0.013 0.000 4.159
Sc Tc Cl
1 2 1
direct
0.000 0.000 0.000
0.286 0.286 0.798
0.714 0.714 0.202
0.500 0.500 0.500
```

The symmetry is C2/m (12). The calculation puts the total magnetic moment at 0.00 μB/f.u.

Entry x
ScTc2Cl: relaxed, GGA-PBE.

The structure in POSCAR format:
```
ScTc2Cl
1.0
0.000 3.158 3.158
3.158 0.000 3.158
3.158 3.158 0.000
Sc Tc Cl
1 2 1
direct
0.000 0.000 0.000
0.250 0.250 0.250
0.750 0.750 0.750
0.500 0.500 0.500
```

The symmetry is Fm-3m (225). The calculation puts the total magnetic moment at 0.00 μB/f.u.

Entry y
ScTc2Cl: relaxed, GGA-PBE.

The structure in POSCAR format:
```
ScTc2Cl
1.0
-1.527 2.331 4.509
1.527 -2.331 4.509
1.527 2.331 -4.509
Sc Tc Cl
1 2 1
direct
0.000 0.000 0.000
0.285 0.785 0.500
0.522 0.522 0.000
0.747 0.247 0.500
```

The symmetry is Imm2 (44). The calculation puts the total magnetic moment at 0.00 μB/f.u.

entry w comes first in stability; the runner-up is 325 meV per atom higher.

Entry w
ScTc2Cl: relaxed, GGA-PBE.

The structure in POSCAR format:
```
ScTc2Cl
1.0
-2.195 2.195 3.397
2.195 -2.195 3.397
2.195 2.195 -3.397
Sc Tc Cl
1 2 1
direct
0.000 0.000 0.000
0.250 0.750 0.500
0.500 0.500 0.000
0.750 0.250 0.500
```

The symmetry is I-4m2 (119). The calculation puts the total magnetic moment at 0.00 μB/f.u.

Entry x
ScTc2Cl: relaxed, GGA-PBE.

The structure in POSCAR format:
```
ScTc2Cl
1.0
1.555 0.898 8.591
-1.555 0.898 8.591
0.000 -1.796 8.591
Sc Tc Cl
1 2 1
direct
0.000 0.000 0.000
0.249 0.249 0.249
0.514 0.514 0.514
0.738 0.738 0.738
```

The symmetry is R3m (160). The calculation puts the total magnetic moment at 0.00 μB/f.u.

Entry y
ScTc2Cl: relaxed, GGA-PBE.

The structure in POSCAR format:
```
ScTc2Cl
1.0
3.075 0.000 0.000
0.000 3.075 0.000
0.000 0.000 6.753
Sc Tc Cl
1 2 1
direct
0.000 0.000 0.000
0.500 0.500 0.266
0.500 0.500 0.734
0.000 0.000 0.500
```

The symmetry is P4/mmm (123). The calculation puts the total magnetic moment at 0.00 μB/f.u.

Entry z
ScTc2Cl: relaxed, GGA-PBE.

The structure in POSCAR format:
```
ScTc2Cl
1.0
3.538 0.000 0.000
0.000 3.538 0.000
0.000 0.000 5.584
Sc Tc Cl
1 2 1
direct
0.000 0.000 0.000
0.000 0.500 0.500
0.500 0.000 0.500
0.500 0.500 0.000
```

The symmetry is P4/mmm (123). The calculation puts the total magnetic moment at 0.00 μB/f.u.

entry x comes first in stability; the runner-up is 274 meV per atom higher.

Entry w
ScTc2Cl: relaxed, GGA-PBE.

The structure in POSCAR format:
```
ScTc2Cl
1.0
4.430 -1.665 0.000
4.430 1.665 0.000
-1.628 0.000 5.035
Sc Tc Cl
1 2 1
direct
0.000 0.000 0.000
0.131 0.131 0.586
0.438 0.438 0.464
0.734 0.734 0.063
```

The symmetry is Cm (8). The calculation puts the total magnetic moment at 0.00 μB/f.u.

Entry x
ScTc2Cl: relaxed, GGA-PBE.

The structure in POSCAR format:
```
ScTc2Cl
1.0
3.049 0.000 0.000
0.000 3.049 0.000
0.000 0.000 7.846
Sc Tc Cl
1 2 1
direct
0.000 0.000 0.000
0.000 0.000 0.422
0.500 0.500 0.250
0.500 0.500 0.778
```

The symmetry is P4mm (99). The calculation puts the total magnetic moment at 0.00 μB/f.u.

entry x comes first in stability; the runner-up is 345 meV per atom higher.

Entry w
ScTc2Cl: relaxed, GGA-PBE.

The structure in POSCAR format:
```
ScTc2Cl
1.0
3.059 0.000 0.000
0.000 5.179 0.000
-0.185 0.000 4.288
Sc Tc Cl
1 2 1
direct
0.000 0.000 0.000
0.311 0.500 0.241
0.689 0.500 0.759
0.500 0.000 0.500
```

The symmetry is P2/m (10). The calculation puts the total magnetic moment at 0.00 μB/f.u.

Entry x
ScTc2Cl: relaxed, GGA-PBE.

The structure in POSCAR format:
```
ScTc2Cl
1.0
3.032 0.000 0.000
0.000 4.435 0.000
0.000 0.000 5.346
Sc Tc Cl
1 2 1
direct
0.000 0.000 0.000
0.500 0.500 0.206
0.500 0.500 0.794
0.000 0.000 0.500
```

The symmetry is Pmmm (47). The calculation puts the total magnetic moment at 0.00 μB/f.u.

entry w comes first in stability; the runner-up is 166 meV per atom higher.

Entry w
ScTe2Cl: relaxed, GGA-PBE.

The structure in POSCAR format:
```
ScTe2Cl
1.0
5.100 0.000 0.000
0.000 4.417 0.000
-1.323 0.000 5.839
Sc Te Cl
1 2 1
direct
0.000 0.000 0.000
0.144 0.500 0.329
0.856 0.500 0.671
0.500 0.000 0.000
```

The symmetry is P2/m (10). The calculation puts the total magnetic moment at 0.00 μB/f.u.

Entry x
ScTe2Cl: relaxed, GGA-PBE.

The structure in POSCAR format:
```
ScTe2Cl
1.0
-1.827 2.550 5.670
1.827 -2.550 5.670
1.827 2.550 -5.670
Sc Te Cl
1 2 1
direct
0.000 0.000 0.000
0.210 0.710 0.500
0.790 0.290 0.500
0.500 0.500 0.000
```

The symmetry is Immm (71). The calculation puts the total magnetic moment at 0.00 μB/f.u.

entry w comes first in stability; the runner-up is 384 meV per atom higher.

Entry w
ScTe2Cl: relaxed, GGA-PBE.

The structure in POSCAR format:
```
ScTe2Cl
1.0
-2.671 2.671 9.766
2.671 -2.671 9.766
2.671 2.671 -9.766
Sc Te Cl
2 4 2
direct
0.000 0.000 0.000
0.750 0.250 0.500
0.375 0.239 0.364
0.761 0.125 0.136
0.875 0.011 0.636
0.989 0.625 0.864
0.250 0.750 0.500
0.500 0.500 0.000
```

The symmetry is I-42d (122). The calculation puts the total magnetic moment at 0.00 μB/f.u.

Entry x
ScTe2Cl: relaxed, GGA-PBE.

The structure in POSCAR format:
```
ScTe2Cl
1.0
5.460 -1.852 0.000
5.460 1.852 0.000
-1.233 0.000 5.286
Sc Te Cl
1 2 1
direct
0.000 0.000 0.000
0.293 0.293 0.803
0.707 0.707 0.197
0.500 0.500 0.500
```

The symmetry is C2/m (12). The calculation puts the total magnetic moment at 0.00 μB/f.u.

entry x comes first in stability; the runner-up is 208 meV per atom higher.